SrZnP3 | PBE | optimized geometry

Lattice parameters (Å, degrees): 4.781 4.781 4.781 90.00 90.00 90.00
Space group Pm-3m (No. 221)
Unique sites:
Sr1 0.000 0.000 0.000 [1 per cell]
Zn1 0.500 0.500 0.500 [1 per cell]
P1 0.000 0.500 0.500 [3 per cell]

For the density of states at the Fermi level, the calculation gives 0.6903 states/eV/atom. The value obtained for the offset from the most stable computed form is 0.00 eV per formula unit. For the spin magnetization, the calculation gives 0.00 μB per formula unit.

SrZnP2 | PBE | optimized geometry

Lattice parameters (Å, degrees): 8.244 4.630 5.108 90.00 109.18 90.00
Space group C2/m (No. 12)
Unique sites:
Sr1 0.000 0.000 0.000 [2 per cell]
Zn1 0.000 0.500 0.500 [2 per cell]
P1 0.249 0.000 0.605 [4 per cell]

For the density of states at the Fermi level, the calculation gives 0.2172 states/eV/atom. For the spin magnetization, the calculation gives 0.00 μB per formula unit.

SrZnP2 | PBE | optimized geometry

Lattice parameters (Å, degrees): 4.473 4.511 4.752 90.00 90.20 90.00
Space group Pm (No. 6)
Unique sites:
Sr1 0.000 0.000 0.000 [1 per cell]
Zn1 0.502 0.500 0.350 [1 per cell]
P1 0.499 0.000 0.544 [1 per cell]
P2 0.499 0.500 0.866 [1 per cell]

For the density of states at the Fermi level, the calculation gives 0.3593 states/eV/atom. For the spin magnetization, the calculation gives 0.00 μB per formula unit.

SrZnP2 | PBE | optimized geometry

Lattice parameters (Å, degrees): 3.520 3.520 6.744 90.00 90.00 90.00
Space group P4mm (No. 99)
Unique sites:
Sr1 0.000 0.000 0.000 [1 per cell]
Zn1 0.500 0.500 0.318 [1 per cell]
P1 0.000 0.000 0.565 [1 per cell]
P2 0.500 0.500 0.675 [1 per cell]

For the density of states at the Fermi level, the calculation gives 0.1578 states/eV/atom. For the spin magnetization, the calculation gives 0.00 μB per formula unit.

SrZnP3 | PBE | optimized geometry

Lattice parameters (Å, degrees): 5.496 5.496 5.496 90.00 90.00 90.00
Space group Pm-3m (No. 221)
Unique sites:
Sr1 0.000 0.000 0.000 [1 per cell]
Zn1 0.500 0.500 0.500 [1 per cell]
P1 0.000 0.000 0.500 [3 per cell]

For the density of states at the Fermi level, the calculation gives 0.6920 states/eV/atom. The value obtained for the offset from the most stable computed form is 6.27 eV per formula unit. For the spin magnetization, the calculation gives 0.00 μB per formula unit.

Sr3ZnP | PBE | optimized geometry

Lattice parameters (Å, degrees): 5.867 5.867 5.867 90.00 90.00 90.00
Space group Pm-3m (No. 221)
Unique sites:
Sr1 0.000 0.000 0.500 [3 per cell]
Zn1 0.500 0.500 0.500 [1 per cell]
P1 0.000 0.000 0.000 [1 per cell]

For the density of states at the Fermi level, the calculation gives 0.7128 states/eV/atom. The value obtained for the offset from the most stable computed form is 0.00 eV per formula unit. For the spin magnetization, the calculation gives 0.00 μB per formula unit.

SrZnP2 | PBE | optimized geometry

Lattice parameters (Å, degrees): 4.967 4.967 15.784 90.00 90.00 90.00
Space group I-42d (No. 122)
Unique sites:
Sr1 0.000 0.000 0.000 [4 per cell]
Zn1 0.000 0.000 0.500 [4 per cell]
P1 0.068 0.250 0.625 [8 per cell]

For the density of states at the Fermi level, the calculation gives 0.2228 states/eV/atom. For the spin magnetization, the calculation gives 0.00 μB per formula unit.

SrZn2P | PBE | optimized geometry

Lattice parameters (Å, degrees): 4.144 6.204 7.350 90.00 90.00 90.00
Space group Imm2 (No. 44)
Unique sites:
Sr1 0.000 0.000 0.000 [2 per cell]
Zn1 0.000 0.000 0.475 [2 per cell]
Zn2 0.000 0.500 0.176 [2 per cell]
P1 0.000 0.500 0.813 [2 per cell]

For the density of states at the Fermi level, the calculation gives 0.1465 states/eV/atom. For the spin magnetization, the calculation gives 0.00 μB per formula unit.

SrZnP2 | PBE | optimized geometry

Lattice parameters (Å, degrees): 4.577 3.855 5.286 90.00 93.43 90.00
Space group P2/m (No. 10)
Unique sites:
Sr1 0.000 0.000 0.000 [1 per cell]
Zn1 0.500 0.000 0.500 [1 per cell]
P1 0.451 0.500 0.788 [2 per cell]

For the density of states at the Fermi level, the calculation gives 0.2662 states/eV/atom. For the spin magnetization, the calculation gives 0.00 μB per formula unit.

SrZn2P | PBE | optimized geometry

Lattice parameters (Å, degrees): 5.844 11.486 3.308 90.00 123.75 90.00
Space group C2/m (No. 12)
Unique sites:
Sr1 0.000 0.000 0.000 [2 per cell]
Zn1 0.250 0.250 0.500 [4 per cell]
P1 0.000 0.500 0.000 [2 per cell]

For the density of states at the Fermi level, the calculation gives 0.3156 states/eV/atom. For the spin magnetization, the calculation gives 0.00 μB per formula unit.

SrZn2P | PBE | optimized geometry

Lattice parameters (Å, degrees): 4.539 4.314 4.864 90.00 94.46 90.00
Space group P2/m (No. 10)
Unique sites:
Sr1 0.000 0.000 0.000 [1 per cell]
Zn1 0.448 0.500 0.752 [2 per cell]
P1 0.500 0.000 0.500 [1 per cell]

For the density of states at the Fermi level, the calculation gives 0.2945 states/eV/atom. For the spin magnetization, the calculation gives 0.00 μB per formula unit.

SrZn2P | PBE | optimized geometry

Lattice parameters (Å, degrees): 3.683 3.683 6.388 90.00 90.00 90.00
Space group P4/mmm (No. 123)
Unique sites:
Sr1 0.000 0.000 0.000 [1 per cell]
Zn1 0.500 0.500 0.308 [2 per cell]
P1 0.000 0.000 0.500 [1 per cell]

For the density of states at the Fermi level, the calculation gives 0.6300 states/eV/atom. For the spin magnetization, the calculation gives 0.00 μB per formula unit.

Per-record ΔE_f, kcal/mol of atoms: 2.88; -8.39; -8.27; -2.54; 31.81; -9.51; -9.73; -6.51; -11.29; -0.12; -7.94; -1.09